1.
# SbPdF, relaxed, DFT PBE
# total moment: 0.0 μB per formula unit
# formation energy from raw total energies: -0.95 eV/atom
# E above lowest polymorph: 0.0408 eV/atom
data_SbPdF
_symmetry_space_group_name_H-M 'P 1 21 1'
_symmetry_Int_Tables_number 4
_symmetry_space_group_name_Hall 'P 2yb'
_cell_length_a 3.218
_cell_length_b 7.569
_cell_length_c 5.676
_cell_angle_alpha 90.00
_cell_angle_beta 104.69
_cell_angle_gamma 90.00
loop_
_atom_site_label
_atom_site_type_symbol
_atom_site_fract_x
_atom_site_fract_y
_atom_site_fract_z
Sb1 Sb 0.046 0.000 0.101
Pd1 Pd 0.436 0.221 0.856
F1 F 0.191 0.122 0.425



2.
# SbPdF3, relaxed, DFT PBE
# total moment: 0.0 μB per formula unit
# formation energy from raw total energies: -0.77 eV/atom
# E above lowest polymorph: 0.4431 eV/atom
data_SbPdF3
_symmetry_space_group_name_H-M 'P m -3 m'
_symmetry_Int_Tables_number 221
_symmetry_space_group_name_Hall '-P 4 2 3'
_cell_length_a 4.322
_cell_length_b 4.322
_cell_length_c 4.322
_cell_angle_alpha 90.00
_cell_angle_beta 90.00
_cell_angle_gamma 90.00
loop_
_atom_site_label
_atom_site_type_symbol
_atom_site_fract_x
_atom_site_fract_y
_atom_site_fract_z
Sb1 Sb 0.000 0.000 0.000
Pd1 Pd 0.500 0.500 0.500
F1 F 0.000 0.500 0.500